5
Lattice="5.564 0.000 0.000 0.000 5.564 0.000 0.000 0.000 4.175" Properties=species:S:1:pos:R:3 comment="BaWS2N GGA-PBE relaxed" e_form_raw_ev_per_fu=11.6 final_energy_ev_per_cell=-19.832 de_polymorph_mev_per_atom=3209 n_ef_per_ev_fu=9.684 sg="No. 123" magnetic_moment_mub_per_atom=0.047 pbc="T T T"
W 2.782 2.782 2.087
S 2.782 0.000 0.000
S 0.000 2.782 0.000
Ba 0.000 0.000 0.000
N 0.000 0.000 2.087